[1]
Computed, not measured: a relaxed LiTc2I crystal at the PBE level of DFT.

The structure in POSCAR format:
```
LiTc2I
1.0
6.219 0.000 0.000
0.000 6.219 0.000
0.000 0.000 6.219
Li Tc I
4 8 4
Direct
0.000 0.000 0.000
0.000 0.500 0.500
0.500 0.000 0.500
0.500 0.500 0.000
0.250 0.250 0.250
0.250 0.250 0.750
0.250 0.750 0.250
0.250 0.750 0.750
0.750 0.250 0.250
0.750 0.250 0.750
0.750 0.750 0.250
0.750 0.750 0.750
0.000 0.000 0.500
0.000 0.500 0.000
0.500 0.000 0.000
0.500 0.500 0.500
```

Properties
Space-group type   Fm-3m, No. 225
Formation energy (no corrections)   2.8 eV per formula unit

=====

[2]
Computed, not measured: a relaxed LiTcI3 crystal at the PBE level of DFT.

The structure in POSCAR format:
```
LiTcI3
1.0
5.450 0.000 0.000
0.000 5.450 0.000
0.000 0.000 5.450
Li Tc I
1 1 3
Direct
0.000 0.000 0.000
0.500 0.500 0.500
0.000 0.000 0.500
0.000 0.500 0.000
0.500 0.000 0.000
```

Properties
Space-group type   Pm-3m, No. 221
Formation energy (no corrections)   2.4 eV per formula unit